VASP calculation (PBE) on a geometry-optimized ZrFeBiIr structure.

The structure in POSCAR format:
```
ZrFeBiIr
1.0
2.559 -3.077 -2.413
3.234 -2.571 2.184
-0.676 -4.585 0.604
Bi Fe Ir Zr
1 1 1 1
Direct
0.000 0.000 0.000
0.750 0.750 0.750
0.500 0.500 0.500
0.250 0.250 0.250
```

Calculated values
DFT total energy = -7.284 eV/atom
Symmetry = No. 216